[1]
VASP calculation (PBE-GGA) on a relaxed ZnRhW crystal.

abc: 5.967 5.967 5.967
angles: 90.00 90.00 90.00
Space group F-43m (No. 216)
Inequivalent atoms, fractional coordinates:
Zn (0.000, 0.000, 0.000) (multiplicity 4)
Rh (0.000, 0.000, 0.500) (multiplicity 4)
W (0.250, 0.250, 0.250) (multiplicity 4)

Energy above the lowest structure with this stoichiometry (meV/atom): 855
DOS(E_F) (states/eV/cell): 19.67
E_tot (eV per atom): -6.555

=====

[2]
VASP calculation (PBE-GGA) on a relaxed Sr2ReRh crystal.

abc: 7.185 7.185 7.185
angles: 90.00 90.00 90.00
Space group F-43m (No. 216)
Inequivalent atoms, fractional coordinates:
Sr (0.000, 0.000, 0.000) (multiplicity 4)
Sr (0.250, 0.250, 0.250) (multiplicity 4)
Re (0.250, 0.250, 0.750) (multiplicity 4)
Rh (0.000, 0.000, 0.500) (multiplicity 4)

Energy above the lowest structure with this stoichiometry (meV/atom): 732
DOS(E_F) (states/eV/cell): 26.94
E_tot (eV per atom): -4.886

=====

Number 1: formation enthalpy at 0 K 0.64 eV per atom. Number 2: formation enthalpy at 0 K 0.90 eV per atom.